--- P ---
{
  "formula": "SrTaSe",
  "functional": "PBEsol",
  "state": "relaxed",
  "lattice_angstrom": [[3.426, 0.000, 0.000], [0.000, 3.426, 0.000], [-1.713, -1.713, 5.918]],
  "species": ["Se", "Ta", "Sr"],
  "frac_coords": [[0.041, 0.041, 0.082], [0.629, 0.629, 0.257], [0.331, 0.331, 0.661]]
}

***

--- Q ---
{
  "formula": "SrTaSe",
  "functional": "PBEsol",
  "state": "relaxed",
  "lattice_angstrom": [[-2.236, -4.270, -0.834], [1.990, -4.162, 1.628], [-2.090, -2.429, 3.696]],
  "species": ["Ta", "Sr", "Se"],
  "frac_coords": [[0.250, 0.250, 0.250], [0.500, 0.500, 0.500], [0.000, 0.000, 0.000]]
}

***

Which one sits at the top of the stability order? P does.